# Rb3LiI4 PBE relaxed
data_Rb3LiI4
_chemical_formula_sum 'Rb6 Li2 I8'
_cell_length_a 12.0786
_cell_length_b 9.9451
_cell_length_c 7.4132
_cell_angle_alpha 90.00
_cell_angle_beta 90.00
_cell_angle_gamma 90.00
_symmetry_space_group_name_H-M 'P 1'
_symmetry_Int_Tables_number 1
loop_
_symmetry_equiv_pos_as_xyz
'x,y,z'
loop_
_atom_site_label
_atom_site_type_symbol
_atom_site_fract_x
_atom_site_fract_y
_atom_site_fract_z
Rb1 Rb 0.0000 0.1406 0.0000
Rb2 Rb 0.2317 0.3312 0.5025
Rb3 Rb 0.2683 0.6688 0.0025
Rb4 Rb 0.5000 0.8594 0.5000
Rb5 Rb 0.7317 0.6688 0.0025
Rb6 Rb 0.7683 0.3312 0.5025
Li1 Li 0.0000 0.8181 0.4219
Li2 Li 0.5000 0.1819 0.9219
I1 I 0.0000 0.1007 0.5016
I2 I 0.0000 0.7889 0.0475
I3 I 0.2148 0.6987 0.5064
I4 I 0.2852 0.3013 0.0064
I5 I 0.5000 0.2111 0.5475
I6 I 0.5000 0.8993 0.0016
I7 I 0.7148 0.3013 0.0064
I8 I 0.7852 0.6987 0.5064
# Total magnetization: 0.00 μB/f.u.
# Formation energy without anion corrections: -1.37 eV/atom
# Polymorph energy (0 for the lowest one): 0.18 eV per formula unit